No. 1
Entry from Alexandria: crystalline SrPbAu at its relaxed geometry (PBE).

The energy of formation comes out at -437 meV/atom. The crystal system is tetragonal. Its space group is No. 107.

abc: 6.612 6.612 6.612
angles: 146.76 146.76 47.72
Fractional positions:
Sr 0.000 0.000 0.000
Pb 0.291 0.291 0.000
Au 0.654 0.654 0.000

No. 2
Entry from Alexandria: crystalline Sr2Pb5Au3 at its relaxed geometry (PBE).

The energy of formation comes out at -390 meV/atom. The crystal system is orthorhombic. Its space group is No. 36.

abc: 14.857 14.857 8.174
angles: 90.00 90.00 161.62
Fractional positions:
Sr 0.024 0.976 0.500
Sr 0.324 0.676 0.458
Sr 0.676 0.324 0.958
Sr 0.976 0.024 0.000
Pb 0.096 0.904 0.129
Pb 0.204 0.796 0.268
Pb 0.208 0.792 0.671
Pb 0.375 0.625 0.984
Pb 0.446 0.554 0.334
Pb 0.554 0.446 0.834
Pb 0.625 0.375 0.484
Pb 0.792 0.208 0.171
Pb 0.796 0.204 0.768
Pb 0.904 0.096 0.629
Au 0.110 0.890 0.754
Au 0.266 0.734 0.973
Au 0.459 0.541 0.712
Au 0.541 0.459 0.212
Au 0.734 0.266 0.473
Au 0.890 0.110 0.254

No. 3
Entry from Alexandria: crystalline SrPb3Au3 at its relaxed geometry (PBE).

The energy of formation comes out at -26 meV/atom. The excess energy over the best structure of this formula in the dataset is 312 meV/atom. The crystal system is cubic. Its space group is No. 223.

abc: 7.861 7.861 7.861
angles: 90.00 90.00 90.00
Fractional positions:
Sr 0.000 0.000 0.000
Sr 0.500 0.500 0.500
Pb 0.000 0.250 0.500
Pb 0.000 0.750 0.500
Pb 0.250 0.500 0.000
Pb 0.500 0.000 0.250
Pb 0.500 0.000 0.750
Pb 0.750 0.500 0.000
Au 0.000 0.500 0.250
Au 0.000 0.500 0.750
Au 0.250 0.000 0.500
Au 0.500 0.250 0.000
Au 0.500 0.750 0.000
Au 0.750 0.000 0.500

No. 4
Entry from Alexandria: crystalline SrTbPbAu at its relaxed geometry (PBE).

The energy of formation comes out at -601 meV/atom. The crystal system is cubic. Its space group is No. 216.

abc: 5.446 5.446 5.446
angles: 60.00 60.00 60.00
Fractional positions:
Sr 0.000 0.000 0.000
Tb 0.500 0.500 0.500
Pb 0.250 0.250 0.250
Au 0.750 0.750 0.750

No. 5
Entry from Alexandria: crystalline SrThPbAu at its relaxed geometry (PBE).

The energy of formation comes out at -391 meV/atom. The crystal system is cubic. Its space group is No. 216.

abc: 5.510 5.510 5.510
angles: 60.00 60.00 60.00
Fractional positions:
Sr 0.000 0.000 0.000
Th 0.500 0.500 0.500
Pb 0.750 0.750 0.750
Au 0.250 0.250 0.250

No. 6
Entry from Alexandria: crystalline SrTlPbAu at its relaxed geometry (PBE).

The energy of formation comes out at -357 meV/atom. The excess energy over the best structure of this formula in the dataset is 0 meV/atom. The crystal system is cubic. Its space group is No. 216.

abc: 5.419 5.419 5.419
angles: 60.00 60.00 60.00
Fractional positions:
Sr 0.000 0.000 0.000
Tl 0.250 0.250 0.250
Pb 0.500 0.500 0.500
Au 0.750 0.750 0.750